CaCr4Cu | PBE | relaxed

Unit cell a=4.9664 b=4.9664 c=4.9664 alpha=60.00 beta=60.00 gamma=60.00
Positions (direct):
Ca  0.0000  0.0000  0.0000
Cr  0.8745  0.3752  0.3752
Cr  0.3752  0.3752  0.8745
Cr  0.3752  0.8745  0.3752
Cr  0.3752  0.3752  0.3752
Cu  0.7500  0.7500  0.7500

Summary:
Calculated volume: 14.44 A^3/atom
Fermi-level density of states: 1.437 states/eV/atom
Symmetry: No. 216
Energy of formation from the pure elements: 0.679 eV/atom